# 1
# PBE-GGA K2LiP, optimized geometry
data_K2LiP
_chemical_formula_sum 'K2 Li1 P1'
_cell_length_a 5.7509
_cell_length_b 5.7509
_cell_length_c 5.7509
_cell_angle_alpha 128.87
_cell_angle_beta 128.88
_cell_angle_gamma 75.22
_symmetry_space_group_name_H-M 'P 1'
_symmetry_Int_Tables_number 1
loop_
_symmetry_equiv_pos_as_xyz
'x,y,z'
loop_
_atom_site_label
_atom_site_fract_x
_atom_site_fract_y
_atom_site_fract_z
K1 0.5000 0.5000 0.0000
Li1 0.7500 0.2500 0.5000
P1 0.2500 0.7500 0.5000
K2 0.0000 0.0000 0.0000
# Fermi-level density of states ... 0.21 states/eV per atom
# Energy of formation from the pure elements ... -0.04 eV/atom
# Symmetry ... I4/mmm



# 2
# PBE-GGA Mg2SnPd4, optimized geometry
data_Mg2SnPd4
_chemical_formula_sum 'Mg2 Sn1 Pd4'
_cell_length_a 5.4506
_cell_length_b 5.4506
_cell_length_c 5.4506
_cell_angle_alpha 111.89
_cell_angle_beta 108.27
_cell_angle_gamma 108.27
_symmetry_space_group_name_H-M 'P 1'
_symmetry_Int_Tables_number 1
loop_
_symmetry_equiv_pos_as_xyz
'x,y,z'
loop_
_atom_site_label
_atom_site_fract_x
_atom_site_fract_y
_atom_site_fract_z
Mg1 0.5000 0.5000 0.0000
Pd1 0.5000 0.5000 0.5000
Sn1 0.0000 0.0000 0.0000
Pd2 0.5000 0.0000 0.0000
Pd3 0.0000 0.0000 0.5000
Pd4 0.0000 0.5000 0.0000
Mg2 0.5000 0.0000 0.5000
# Fermi-level density of states ... 0.22 states/eV per atom
# Energy of formation from the pure elements ... -0.53 eV/atom
# Symmetry ... I4/mmm



# 3
# PBE-GGA Li2MnSe, optimized geometry
data_Li2MnSe
_chemical_formula_sum 'Li2 Mn1 Se1'
_cell_length_a 8.8022
_cell_length_b 8.8022
_cell_length_c 8.8022
_cell_angle_alpha 20.50
_cell_angle_beta 20.50
_cell_angle_gamma 20.50
_symmetry_space_group_name_H-M 'P 1'
_symmetry_Int_Tables_number 1
loop_
_symmetry_equiv_pos_as_xyz
'x,y,z'
loop_
_atom_site_label
_atom_site_fract_x
_atom_site_fract_y
_atom_site_fract_z
Li1 0.0120 0.0120 0.0120
Mn1 0.2500 0.2500 0.2500
Li2 0.4880 0.4880 0.4880
Se1 0.7500 0.7500 0.7500
# Fermi-level density of states ... 0.60 states/eV per atom
# Formation energy (no corrections) ... -23 meV per atom
# Symmetry ... R-3m



# 4
# PBE-GGA ReS2O8, optimized geometry
data_ReS2O8
_chemical_formula_sum 'Re1 S2 O8'
_cell_length_a 4.7106
_cell_length_b 6.1368
_cell_length_c 6.1368
_cell_angle_alpha 74.57
_cell_angle_beta 97.81
_cell_angle_gamma 97.81
_symmetry_space_group_name_H-M 'P 1'
_symmetry_Int_Tables_number 1
loop_
_symmetry_equiv_pos_as_xyz
'x,y,z'
loop_
_atom_site_label
_atom_site_fract_x
_atom_site_fract_y
_atom_site_fract_z
O1 0.7472 0.3443 0.3443
O2 0.3316 0.1639 0.1639
O3 0.2265 0.0376 0.7234
O4 0.7735 0.2766 0.9624
O5 0.7735 0.9624 0.2766
Re1 0.0000 0.0000 0.0000
S1 0.3434 0.8021 0.8021
O6 0.2265 0.7234 0.0376
S2 0.6566 0.1979 0.1979
O7 0.2528 0.6557 0.6557
O8 0.6684 0.8361 0.8361
# Formation energy (no corrections) ... -1101 meV per atom
# Symmetry ... C2/m



# 5
# PBE-GGA Pm5ErZn6, optimized geometry
data_Pm5ErZn6
_chemical_formula_sum 'Pm5 Er1 Zn6'
_cell_length_a 5.1311
_cell_length_b 7.2834
_cell_length_c 8.1454
_cell_angle_alpha 90.00
_cell_angle_beta 71.64
_cell_angle_gamma 90.00
_symmetry_space_group_name_H-M 'P 1'
_symmetry_Int_Tables_number 1
loop_
_symmetry_equiv_pos_as_xyz
'x,y,z'
loop_
_atom_site_label
_atom_site_fract_x
_atom_site_fract_y
_atom_site_fract_z
Zn1 0.5000 0.2424 0.0000
Zn2 0.1630 0.2450 0.6740
Pm1 0.3345 0.0000 0.3310
Pm2 0.6655 0.0000 0.6690
Pm3 0.6684 0.5000 0.6632
Er1 0.0000 0.0000 0.0000
Zn3 0.8370 0.7550 0.3260
Pm4 0.3316 0.5000 0.3368
Zn4 0.8370 0.2450 0.3260
Zn5 0.1630 0.7550 0.6740
Pm5 0.0000 0.5000 0.0000
Zn6 0.5000 0.7576 0.0000
# Fermi-level density of states ... 1.12 states/eV per atom
# Energy of formation from the pure elements ... -0.32 eV/atom
# Symmetry ... Cmmm



# 6
# PBE-GGA LaHPd2Pt, optimized geometry
data_LaHPd2Pt
_chemical_formula_sum 'La1 H1 Pd2 Pt1'
_cell_length_a 4.2940
_cell_length_b 4.2940
_cell_length_c 4.2485
_cell_angle_alpha 90.00
_cell_angle_beta 90.00
_cell_angle_gamma 90.00
_symmetry_space_group_name_H-M 'P 1'
_symmetry_Int_Tables_number 1
loop_
_symmetry_equiv_pos_as_xyz
'x,y,z'
loop_
_atom_site_label
_atom_site_fract_x
_atom_site_fract_y
_atom_site_fract_z
Pd1 0.5000 0.0000 0.0000
Pt1 0.0000 0.0000 0.5000
Pd2 0.0000 0.5000 0.0000
La1 0.5000 0.5000 0.5000
H1 0.0000 0.0000 0.0000
# E_tot ... -5.561 eV per atom
# Fermi-level density of states ... 0.28 states/eV per atom
# Symmetry ... P4/mmm